# 1
This record from Alexandria describes a geometry-optimized CsErMg2Br8 structure. The functional is PBE.

Computed properties:
For the energy relative to the elements, uncorrected, the calculation gives -1605 meV/atom. The total energy is -3.437 eV per atom.

Cell and atoms, written as POSCAR:
```
CsErMg2Br8
1.0
7.0061 0.0000 0.0000
2.1587 6.7729 0.0000
2.6842 2.3164 9.2586
Cs Er Mg Br
1 1 2 8
Direct
0.0000 0.0000 0.0000 Cs
0.0000 0.0000 0.5000 Er
0.4560 0.4489 0.2135 Mg
0.5440 0.5511 0.7865 Mg
0.1800 0.7083 0.7249 Br
0.2678 0.7889 0.2991 Br
0.2704 0.2362 0.4551 Br
0.3826 0.3001 0.0328 Br
0.6174 0.6999 0.9672 Br
0.7296 0.7638 0.5449 Br
0.7322 0.2111 0.7009 Br
0.8200 0.2917 0.2751 Br
```


# 2
This record from Alexandria describes a geometry-optimized CsErPb2Br8 structure. The functional is PBE.

Computed properties:
For the energy relative to the elements, uncorrected, the calculation gives -1346 meV/atom. The total energy is -3.531 eV per atom.

Cell and atoms, written as POSCAR:
```
CsErPb2Br8
1.0
6.9883 0.0000 0.0000
0.3481 7.2341 0.0000
1.2359 0.7365 9.5356
Cs Er Pb Br
1 1 2 8
Direct
0.0000 0.0000 0.0000 Cs
0.0000 0.0000 0.5000 Er
0.4783 0.4961 0.2491 Pb
0.5217 0.5039 0.7509 Pb
0.2212 0.8197 0.6924 Br
0.2268 0.3136 0.4991 Br
0.2603 0.4004 0.0339 Br
0.2661 0.8692 0.2837 Br
0.7339 0.1308 0.7163 Br
0.7397 0.5996 0.9661 Br
0.7732 0.6864 0.5009 Br
0.7788 0.1803 0.3076 Br
```


# 3
This record from Alexandria describes a geometry-optimized CsErPbBr6 structure. The functional is PBE.

Computed properties:
For the energy relative to the elements, uncorrected, the calculation gives -1576 meV/atom. The total energy is -3.705 eV per atom.

Cell and atoms, written as POSCAR:
```
CsErPbBr6
1.0
7.6776 0.0000 0.0000
-3.8388 6.6490 0.0000
0.0000 0.0000 7.9209
Cs Er Pb Br
1 1 1 6
Direct
0.0000 0.0000 0.0000 Cs
0.6667 0.3333 0.5000 Er
0.3333 0.6667 0.5000 Pb
0.3871 0.0256 0.7077 Br
0.3871 0.3615 0.2923 Br
0.6385 0.0256 0.2923 Br
0.6385 0.6129 0.7077 Br
0.9744 0.3615 0.7077 Br
0.9744 0.6129 0.2923 Br
```


# 4
This record from Alexandria describes a geometry-optimized Cs2ErPdBr6 structure. The functional is PBE.

Computed properties:
For the energy relative to the elements, uncorrected, the calculation gives -1463 meV/atom. The total energy is -3.613 eV per atom.

Cell and atoms, written as POSCAR:
```
Cs2ErPdBr6
1.0
3.9662 2.2899 13.0658
-3.9662 2.2899 13.0658
0.0000 -4.5798 13.0658
Cs Er Pd Br
4 2 2 12
Direct
0.1235 0.1235 0.1235 Cs
0.2943 0.2943 0.2943 Cs
0.7057 0.7057 0.7057 Cs
0.8765 0.8765 0.8765 Cs
0.4163 0.4163 0.4163 Er
0.5837 0.5837 0.5837 Er
0.0000 0.0000 0.0000 Pd
0.5000 0.5000 0.5000 Pd
0.1286 0.6226 0.6226 Br
0.2095 0.2095 0.7074 Br
0.2095 0.7074 0.2095 Br
0.2926 0.7905 0.7905 Br
0.3774 0.3774 0.8714 Br
0.3774 0.8714 0.3774 Br
0.6226 0.1286 0.6226 Br
0.6226 0.6226 0.1286 Br
0.7074 0.2095 0.2095 Br
0.7905 0.2926 0.7905 Br
0.7905 0.7905 0.2926 Br
0.8714 0.3774 0.3774 Br
```